The following is a GGA-PBE calculation of a relaxed structure of Sm3DyBi4, from the Alexandria database.

a b c (Å): 9.078 12.835 4.539
angles (deg): 90.00 90.00 90.00
Positions (direct):
Sm  0.000  0.000  0.000
Sm  0.250  0.250  0.500
Sm  0.250  0.750  0.500
Sm  0.500  0.500  0.000
Sm  0.750  0.250  0.500
Sm  0.750  0.750  0.500
Dy  0.000  0.500  0.000
Dy  0.500  0.000  0.000
Bi  0.000  0.252  0.000
Bi  0.000  0.748  0.000
Bi  0.246  0.500  0.500
Bi  0.254  0.000  0.500
Bi  0.500  0.248  0.000
Bi  0.500  0.752  0.000
Bi  0.746  0.000  0.500
Bi  0.754  0.500  0.500

Computed properties:
Energy relative to the elements = -7.26 eV per formula unit
Offset from the most stable computed form = 4.6 meV per atom
Total magnetization = 0.0 μB per cell